A geometry-optimized InTcCl structure. Source: Alexandria, functional PBE.

Calculated values
V ... 61.4 Å³ per cell
Space-group type ... No. 156
E_form (uncorrected) ... 0.23 eV/atom
Density of states at the Fermi level ... 2.86 states/eV/cell
E_tot ... -4.7498 eV/atom
Offset from the most stable computed form ... 0.00 kJ per mole of atoms

POSCAR file:
```
InTcCl
1.0
3.101 0.000 0.000
-1.551 2.686 0.000
0.000 0.000 7.374
Tc Cl In
1 1 1
Cartesian
0.000 1.790 5.163
0.000 0.000 6.776
1.551 0.895 2.810
```